a.
The following is a PBE calculation of a relaxed structure of Pm3Ag2Pd4, from the Alexandria database.

POSCAR file:
```
Pm3Ag2Pd4
1.0
4.903 -2.329 0.000
4.903 2.329 0.000
-1.147 0.000 8.680
Pm Ag Pd
3 2 4
Cartesian
0.000 0.000 0.000
3.024 0.000 5.399
5.634 0.000 3.281
2.640 0.000 2.067
6.019 0.000 6.613
0.091 0.000 5.517
1.809 0.000 7.981
6.850 0.000 0.699
8.568 0.000 3.163
```

Space group: No. 12
Crystal system: monoclinic
Magnetic moment: 0.00 μB per cell

***

b.
The following is a PBE calculation of a relaxed structure of Pm3Ag2Pd4, from the Alexandria database.

POSCAR file:
```
Pm3Ag2Pd4
1.0
5.574 -5.132 0.000
5.574 5.132 0.000
-1.913 0.000 7.139
Pm Ag Pd
6 4 8
Cartesian
4.139 4.161 5.354
3.249 1.209 2.709
2.292 -1.209 6.279
6.942 1.209 0.860
5.985 -1.209 4.429
5.095 -4.161 1.785
3.804 3.446 0.430
6.387 3.446 3.140
2.848 -3.446 3.999
5.430 -3.446 6.709
0.773 0.842 4.301
2.876 1.546 5.856
1.729 -0.842 0.732
5.402 1.546 4.852
3.832 -1.546 2.287
7.505 0.842 6.407
6.359 -1.546 1.283
8.462 -0.842 2.838
```

Space group: No. 15
Crystal system: monoclinic
Magnetic moment: 0.00 μB per cell

***

We find a to be the most stable, with the next structure 56 meV per atom higher.